Here is UPt3 after structural relaxation from Alexandria via LeMat-Bulk. Energies are from PBE.

a b c (Å): 6.6357 6.6357 6.6357
angles (deg): 90.00 90.00 90.00
Space group Fm-3m (No. 225)
One atom of each set of equivalent atoms:
U 0.0000 0.0000 0.0000 [4 per cell]
Pt 0.0000 0.0000 0.5000 [4 per cell]
Pt 0.2500 0.2500 0.2500 [8 per cell]

**M_tot**: 5.5 μB/cell
**Final energy**: -126.84 eV/cell
**DOS(E_F)**: 1.192 states/eV/atom
**Energy of formation**: -0.575 eV/atom


Here is TiTlSn2O after structural relaxation from Alexandria via LeMat-Bulk. Energies are from PBE.

a b c (Å): 4.5899 4.5899 5.0511
angles (deg): 90.00 90.00 90.00
Space group P4/mmm (No. 123)
One atom of each set of equivalent atoms:
Ti 0.0000 0.0000 0.0000 [1 per cell]
Tl 0.5000 0.5000 0.0000 [1 per cell]
Sn 0.0000 0.5000 0.5000 [2 per cell]
O 0.5000 0.5000 0.5000 [1 per cell]

**M_tot**: 0.0 μB/cell
**Final energy**: -23.38 eV/cell
**DOS(E_F)**: 0.863 states/eV/atom
**Formation energy without anion corrections**: -0.0306 eV/atom


Here is Mg2ScHg6 after structural relaxation from Alexandria via LeMat-Bulk. Energies are from PBE.

a b c (Å): 13.8449 11.0555 5.3565
angles (deg): 90.00 100.06 90.00
Space group C2/c (No. 15)
One atom of each set of equivalent atoms:
Mg 0.1618 0.1247 0.0868 [8 per cell]
Sc 0.0000 0.3711 0.2500 [4 per cell]
Hg 0.0565 0.1259 0.5266 [8 per cell]
Hg 0.1122 0.3775 0.8009 [8 per cell]
Hg 0.2235 0.3718 0.3472 [8 per cell]

**M_tot**: 0.0 μB/cell
**Final energy**: -51.66 eV/cell
**DOS(E_F)**: 0.462 states/eV/atom
**Energy of formation**: -0.176 eV/atom


Q: M_tot of number 1 (UPt3)?
A: 5.5 μB/cell